Entry 1:
Computed, not measured: a relaxed IrWCl2 crystal at the PBE-GGA level of DFT.

Results
As for the excess energy over the best structure of this formula in the dataset: 1.5633 eV per atom.

abc: 3.9373 3.9373 4.2720
angles: 90.00 90.00 90.00
Positions (direct):
Ir1 0.0000 0.0000 0.0000
W1 0.5000 0.5000 0.0000
Cl1 0.0000 0.5000 0.5000
Cl2 0.5000 0.0000 0.5000

---

Entry 2:
Computed, not measured: a relaxed Mg2In2Ni crystal at the PBE-GGA level of DFT.

Results
As for the formation enthalpy at 0 K: -0.58 eV per formula unit. As for the excess energy over the best structure of this formula in the dataset: 0.0000 eV per atom.

abc: 7.3955 7.3955 7.3955
angles: 127.88 69.05 138.04
Positions (direct):
Mg1 0.1721 0.1523 0.3243
Mg2 0.3279 0.6523 0.9802
Mg3 0.6721 0.3477 0.0198
Mg4 0.8279 0.8477 0.6757
In1 0.0848 0.6769 0.7617
In2 0.4152 0.1769 0.5922
In3 0.5848 0.8231 0.4078
In4 0.9152 0.3231 0.2383
Ni1 0.2500 0.2500 0.0000
Ni2 0.7500 0.7500 0.0000

---

Entry 3:
Computed, not measured: a relaxed PmHS2O8 crystal at the PBE-GGA level of DFT.

Results
Its electronic total energy is -6.18 eV/atom.

abc: 5.4921 5.4921 6.1003
angles: 113.65 113.65 52.02
Positions (direct):
Pm1 0.0000 0.0000 0.0000
H1 0.5000 0.5000 0.5000
S1 0.1903 0.1903 0.6746
S2 0.8097 0.8097 0.3253
O1 0.1292 0.6343 0.2692
O2 0.1651 0.1651 0.4188
O3 0.3563 0.3563 0.8385
O4 0.3657 0.8708 0.7308
O5 0.6343 0.1292 0.2692
O6 0.6437 0.6437 0.1615
O7 0.8349 0.8349 0.5812
O8 0.8708 0.3657 0.7308